Record 1
The following is a PBE calculation of CsAlGa3 after structural relaxation, from the Alexandria database.

a = 5.284 Å, b = 5.284 Å, c = 5.284 Å
α = 90.00°, β = 90.00°, γ = 90.00°
Sites, in units of the cell vectors:
Cs1 0.000 0.000 0.000
Al1 0.500 0.500 0.500
Ga1 0.000 0.500 0.500
Ga2 0.500 0.000 0.500
Ga3 0.500 0.500 0.000

Summary:
SG: Pm-3m (221)
Energy above the most stable polymorph in this dataset in eV/f.u.: 1.49
M_tot in μB/f.u.: 0.00
ΔE_f in kJ/mol of atoms: 23.0

Record 2
The following is a PBE calculation of CsAl3Ga2 after structural relaxation, from the Alexandria database.

a = 8.560 Å, b = 8.560 Å, c = 8.564 Å
α = 107.87°, β = 107.87°, γ = 28.78°
Sites, in units of the cell vectors:
Cs1 0.165 0.165 0.058
Cs2 0.835 0.835 0.942
Al1 0.040 0.040 0.370
Al2 0.333 0.333 0.587
Al3 0.422 0.422 0.361
Al4 0.578 0.578 0.639
Al5 0.667 0.667 0.413
Al6 0.960 0.960 0.630
Ga1 0.183 0.183 0.630
Ga2 0.484 0.484 0.836
Ga3 0.516 0.516 0.164
Ga4 0.817 0.817 0.370

Summary:
SG: C2/m (12)
M_tot in μB/f.u.: 0.00
ΔE_f in kJ/mol of atoms: -1.8

Record 3
The following is a PBE calculation of CsAlGa3 after structural relaxation, from the Alexandria database.

a = 6.019 Å, b = 6.019 Å, c = 6.019 Å
α = 90.00°, β = 90.00°, γ = 90.00°
Sites, in units of the cell vectors:
Cs1 0.000 0.000 0.000
Al1 0.500 0.500 0.500
Ga1 0.000 0.000 0.500
Ga2 0.000 0.500 0.000
Ga3 0.500 0.000 0.000

Summary:
SG: Pm-3m (221)
Energy above the most stable polymorph in this dataset in eV/f.u.: 7.31
M_tot in μB/f.u.: 0.00
ΔE_f in kJ/mol of atoms: 135.3

Record 4
The following is a PBE calculation of CsAl3Ga3 after structural relaxation, from the Alexandria database.

a = 7.331 Å, b = 7.331 Å, c = 7.331 Å
α = 90.00°, β = 90.00°, γ = 90.00°
Sites, in units of the cell vectors:
Cs1 0.000 0.000 0.000
Cs2 0.500 0.500 0.500
Al1 0.000 0.250 0.500
Al2 0.000 0.750 0.500
Al3 0.250 0.500 0.000
Al4 0.500 0.000 0.250
Al5 0.500 0.000 0.750
Al6 0.750 0.500 0.000
Ga1 0.000 0.500 0.250
Ga2 0.000 0.500 0.750
Ga3 0.250 0.000 0.500
Ga4 0.500 0.250 0.000
Ga5 0.500 0.750 0.000
Ga6 0.750 0.000 0.500

Summary:
SG: Pm-3n (223)
Energy above the most stable polymorph in this dataset in eV/f.u.: 0.00
M_tot in μB/f.u.: 0.00
ΔE_f in kJ/mol of atoms: 14.7

Record 5
The following is a PBE calculation of Cs2AlGa4 after structural relaxation, from the Alexandria database.

a = 7.042 Å, b = 8.422 Å, c = 8.890 Å
α = 92.52°, β = 102.88°, γ = 108.93°
Sites, in units of the cell vectors:
Cs1 0.207 0.307 0.423
Cs2 0.288 0.608 0.879
Cs3 0.712 0.392 0.121
Cs4 0.793 0.693 0.577
Al1 0.305 0.075 0.776
Al2 0.695 0.925 0.224
Ga1 0.045 0.871 0.249
Ga2 0.187 0.999 0.021
Ga3 0.343 0.898 0.548
Ga4 0.345 0.752 0.290
Ga5 0.655 0.248 0.710
Ga6 0.657 0.102 0.452
Ga7 0.813 0.001 0.979
Ga8 0.955 0.129 0.751

Summary:
SG: P-1 (2)
M_tot in μB/f.u.: 0.00
ΔE_f in kJ/mol of atoms: -0.9

Record 6
The following is a PBE calculation of CsAl3Ga after structural relaxation, from the Alexandria database.

a = 5.301 Å, b = 5.301 Å, c = 5.301 Å
α = 90.00°, β = 90.00°, γ = 90.00°
Sites, in units of the cell vectors:
Cs1 0.000 0.000 0.000
Al1 0.000 0.500 0.500
Al2 0.500 0.000 0.500
Al3 0.500 0.500 0.000
Ga1 0.500 0.500 0.500

Summary:
SG: Pm-3m (221)
Energy above the most stable polymorph in this dataset in eV/f.u.: 0.00
M_tot in μB/f.u.: 0.00
ΔE_f in kJ/mol of atoms: 52.1